[1]
Here is crystalline Lu3Mg2TiS8 at its relaxed geometry from Alexandria via LeMat-Bulk. Energies are from PBE.

Cell lengths 7.715, 7.617, 7.715 Å; angles 59.57, 60.00, 59.57 degrees
Last column: magnetic moment on the atom in μB.
Atoms (fractional coordinates):
S 0.729 0.241 0.265  0.01
S 0.265 0.241 0.729  0.01
S 0.735 0.759 0.735  0.01
S 0.735 0.759 0.271  0.01
S 0.256 0.732 0.256  0.00
S 0.271 0.759 0.735  0.01
S 0.265 0.241 0.265  0.01
S 0.744 0.268 0.744  0.00
Lu 0.500 0.500 0.500  -0.01
Lu 0.000 0.500 0.500  -0.01
Lu 0.500 0.500 0.000  -0.01
Mg 0.124 0.127 0.124  -0.01
Mg 0.876 0.873 0.876  -0.01
Ti 0.500 0.000 0.500  -0.81

Calculated values
The calculation puts the spin magnetization at 0.07 μB/atom. For the uncorrected formation energy, the calculation gives -1.737 eV per atom.

=====

[2]
Here is crystalline Lu3Mg2VS8 at its relaxed geometry from Alexandria via LeMat-Bulk. Energies are from PBE.

Cell lengths 7.688, 7.598, 7.688 Å; angles 59.61, 60.00, 59.61 degrees
Last column: magnetic moment on the atom in μB.
Atoms (fractional coordinates):
Lu 0.500 0.500 0.000  0.01
Lu 0.500 0.500 0.500  0.01
Lu 0.000 0.500 0.500  0.01
V 0.500 0.000 0.500  1.85
S 0.733 0.762 0.733  -0.02
S 0.744 0.267 0.744  0.00
S 0.727 0.238 0.267  -0.02
S 0.267 0.238 0.267  -0.02
S 0.733 0.762 0.273  -0.02
S 0.273 0.762 0.733  -0.02
S 0.267 0.238 0.727  -0.02
S 0.256 0.733 0.256  0.00
Mg 0.875 0.874 0.875  0.00
Mg 0.125 0.126 0.125  0.00

Calculated values
The calculation puts the spin magnetization at 0.14 μB/atom. For the uncorrected formation energy, the calculation gives -1.642 eV per atom.

=====

[3]
Here is crystalline LuMgVS4 at its relaxed geometry from Alexandria via LeMat-Bulk. Energies are from PBE.

Cell lengths 7.604, 7.491, 7.491 Å; angles 59.83, 59.50, 59.51 degrees
Last column: magnetic moment on the atom in μB.
Atoms (fractional coordinates):
S 0.265 0.729 0.240  0.02
S 0.285 0.248 0.248  0.05
S 0.735 0.760 0.271  0.02
S 0.280 0.752 0.752  0.05
S 0.715 0.752 0.752  0.05
S 0.720 0.248 0.248  0.05
S 0.265 0.240 0.729  0.02
S 0.734 0.271 0.760  0.02
V 0.500 0.500 0.000  -1.86
V 0.500 0.000 0.500  -1.86
Mg 0.122 0.128 0.128  -0.01
Mg 0.878 0.872 0.872  -0.01
Lu 0.000 0.500 0.500  -0.02
Lu 0.500 0.500 0.500  -0.02

Calculated values
The calculation puts the spin magnetization at 0.29 μB/atom. For the uncorrected formation energy, the calculation gives -1.408 eV per atom.

=====

[4]
Here is crystalline LuMg2W3S8 at its relaxed geometry from Alexandria via LeMat-Bulk. Energies are from PBE.

Cell lengths 7.427, 7.427, 7.427 Å; angles 60.12, 60.12, 60.12 degrees
Last column: magnetic moment on the atom in μB.
Atoms (fractional coordinates):
S 0.751 0.751 0.276  0.01
S 0.249 0.249 0.724  0.01
S 0.262 0.262 0.262  0.01
S 0.249 0.724 0.249  0.01
S 0.738 0.738 0.738  0.01
S 0.724 0.249 0.249  0.01
S 0.276 0.751 0.751  0.01
S 0.751 0.276 0.751  0.01
W 0.500 0.000 0.500  1.57
W 0.000 0.500 0.500  1.57
W 0.500 0.500 0.000  1.57
Mg 0.125 0.125 0.125  0.02
Mg 0.875 0.875 0.875  0.02
Lu 0.500 0.500 0.500  0.07

Calculated values
The calculation puts the spin magnetization at 0.46 μB/atom. For the uncorrected formation energy, the calculation gives -0.737 eV per atom.

=====

[5]
Here is crystalline LuMgWS4 at its relaxed geometry from Alexandria via LeMat-Bulk. Energies are from PBE.

Cell lengths 7.514, 7.514, 7.514 Å; angles 118.90, 119.04, 91.80 degrees
Last column: magnetic moment on the atom in μB.
Atoms (fractional coordinates):
S 0.749 0.239 0.510  0.01
S 0.255 0.223 0.468  0.01
S 0.745 0.777 0.532  0.01
S 0.771 0.761 0.010  0.01
S 0.229 0.239 0.990  0.01
S 0.251 0.761 0.490  0.01
S 0.745 0.212 0.968  0.01
S 0.255 0.788 0.032  0.01
Lu 0.000 0.500 0.000  0.07
Lu 0.000 0.000 0.500  0.07
Mg 0.376 0.626 0.750  0.01
Mg 0.624 0.374 0.250  0.01
W 0.500 0.000 0.500  1.89
W 0.000 0.000 0.000  1.89

Calculated values
The calculation puts the spin magnetization at 0.39 μB/atom. For the uncorrected formation energy, the calculation gives -1.119 eV per atom.

=====

[6]
Here is crystalline Lu3Mg2WS8 at its relaxed geometry from Alexandria via LeMat-Bulk. Energies are from PBE.

Cell lengths 7.600, 7.600, 7.600 Å; angles 61.08, 61.08, 61.08 degrees
Last column: magnetic moment on the atom in μB.
Atoms (fractional coordinates):
Lu 0.500 0.000 0.500  -0.04
Lu 0.000 0.500 0.500  -0.04
Lu 0.500 0.500 0.000  -0.04
Mg 0.126 0.126 0.126  -0.01
Mg 0.874 0.874 0.874  -0.01
S 0.735 0.735 0.271  -0.01
S 0.265 0.729 0.265  -0.01
S 0.743 0.743 0.743  0.00
S 0.271 0.735 0.735  -0.01
S 0.735 0.271 0.735  -0.01
S 0.265 0.265 0.729  -0.01
S 0.729 0.265 0.265  -0.01
S 0.257 0.257 0.257  0.00
W 0.500 0.500 0.500  -1.98

Calculated values
The calculation puts the spin magnetization at 0.21 μB/atom. For the uncorrected formation energy, the calculation gives -1.508 eV per atom.

=====

[7]
Here is crystalline LuMgSb2 at its relaxed geometry from Alexandria via LeMat-Bulk. Energies are from PBE.

Cell lengths 4.061, 4.948, 4.948 Å; angles 90.00, 90.00, 90.00 degrees
Atoms (fractional coordinates):
Sb 0.000 0.000 0.500
Sb 0.000 0.500 0.000
Mg 0.500 0.000 0.000
Lu 0.500 0.500 0.500

Calculated values
The calculation puts the spin magnetization at 0.00 μB/atom. For the uncorrected formation energy, the calculation gives -0.467 eV per atom.

=====

[8]
Here is crystalline LuMgSb2 at its relaxed geometry from Alexandria via LeMat-Bulk. Energies are from PBE.

Cell lengths 4.276, 4.276, 7.432 Å; angles 73.28, 73.28, 60.00 degrees
Atoms (fractional coordinates):
Mg 0.000 0.000 0.000
Lu 0.500 0.500 0.500
Sb 0.252 0.252 0.244
Sb 0.748 0.748 0.756

Calculated values
The calculation puts the spin magnetization at 0.00 μB/atom. For the uncorrected formation energy, the calculation gives -0.523 eV per atom.

=====

[9]
Here is crystalline LuMgSb at its relaxed geometry from Alexandria via LeMat-Bulk. Energies are from PBE.

Cell lengths 3.888, 4.706, 4.706 Å; angles 120.00, 90.00, 90.00 degrees
Atoms (fractional coordinates):
Lu 0.667 0.667 0.333
Mg 0.166 0.000 0.000
Sb 0.167 0.333 0.667

Calculated values
The calculation puts the spin magnetization at 0.00 μB/atom. For the uncorrected formation energy, the calculation gives -0.365 eV per atom.

=====

[10]
Here is crystalline Lu2MgSc at its relaxed geometry from Alexandria via LeMat-Bulk. Energies are from PBE.

Cell lengths 3.362, 3.362, 11.189 Å; angles 81.36, 81.36, 60.00 degrees
Atoms (fractional coordinates):
Sc 0.500 0.500 0.500
Lu 0.248 0.248 0.255
Lu 0.752 0.752 0.745
Mg 0.000 0.000 0.000

Calculated values
The calculation puts the spin magnetization at 0.00 μB/atom. The value obtained for the electronic total energy is -4.212 eV per atom.

=====

[11]
Here is crystalline Lu2MgSc at its relaxed geometry from Alexandria via LeMat-Bulk. Energies are from PBE.

Cell lengths 4.407, 4.920, 4.920 Å; angles 90.00, 90.00, 90.00 degrees
Atoms (fractional coordinates):
Mg 0.500 0.500 0.500
Lu 0.000 0.000 0.500
Lu 0.000 0.500 0.000
Sc 0.500 0.000 0.000

Calculated values
The calculation puts the spin magnetization at 0.00 μB/atom. The value obtained for the electronic total energy is -4.197 eV per atom.

=====

[12]
Here is crystalline Lu2MgSc at its relaxed geometry from Alexandria via LeMat-Bulk. Energies are from PBE.

Cell lengths 3.457, 3.457, 8.944 Å; angles 90.00, 90.00, 90.00 degrees
Atoms (fractional coordinates):
Sc 0.500 0.500 0.500
Lu 0.000 0.000 0.748
Lu 0.000 0.000 0.252
Mg 0.500 0.500 0.000

Calculated values
The calculation puts the spin magnetization at 0.00 μB/atom. The value obtained for the electronic total energy is -4.257 eV per atom.